The following is a PBE calculation of crystalline Sm2CdBr at its relaxed geometry, from Alexandria via LeMat-Bulk.

Output
The space group is R-3m (166). The formation energy (no corrections) is -31 kJ/mol of atoms. As for the energy relative to the lowest polymorph listed for this composition: 33.4 kJ per mole of atoms. The calculation puts the density of states at the Fermi level at 4.657 states/eV/cell.

```
Sm2CdBr
1.0
1.7716 1.0228 11.2754
-1.7716 1.0228 11.2754
0.0000 -2.0457 11.2754
Sm Cd Br
2 1 1
direct
0.0960 0.0960 0.0960
0.9040 0.9040 0.9040
0.0000 0.0000 0.0000
0.5000 0.5000 0.5000
```